Compound: Sn2Sb2Se5
Source: the Alexandria database
Functional: PBE
Structure: optimized geometry

Values from the calculation:
DFT total energy ... -3.920 eV/atom
Energy relative to the elements, uncorrected ... -0.179 eV/atom
Symmetry ... C2/m
Volume ... 31.9 Å³/atom
DOS at the Fermi energy ... 1.49 states/eV/f.u.

Structure (extended XYZ):
```
9
Lattice="8.775 -2.672 0.000 8.775 2.672 0.000 -0.740 0.000 6.119" Properties=species:S:1:pos:R:3 pbc="T T T"
Sn 0.900 0.000 1.814
Sn 15.910 0.000 4.305
Sb 6.014 0.000 0.652
Sb 10.796 0.000 5.467
Se 3.015 0.000 0.052
Se 6.052 0.000 3.217
Se 8.775 0.000 0.000
Se 10.758 0.000 2.902
Se 13.795 0.000 6.067
```

Compound: Sn2SbSe2
Source: the Alexandria database
Functional: PBE
Structure: optimized geometry

Values from the calculation:
DFT total energy ... -3.745 eV/atom
E above lowest polymorph ... 0.121 eV/atom
Energy relative to the elements, uncorrected ... 0.075 eV/atom
Symmetry ... I4/mmm
Volume ... 26.8 Å³/atom
DOS at the Fermi energy ... 3.19 states/eV/f.u.

Structure (extended XYZ):
```
10
Lattice="4.037 0.000 0.000 0.000 4.037 0.000 0.000 0.000 16.451" Properties=species:S:1:pos:R:3 pbc="T T T"
Sn 0.000 0.000 1.664
Sn 0.000 0.000 14.787
Sn 2.018 2.018 6.562
Sn 2.018 2.018 9.889
Sb 0.000 0.000 8.225
Sb 2.018 2.018 0.000
Se 0.000 2.018 4.113
Se 0.000 2.018 12.338
Se 2.018 0.000 4.113
Se 2.018 0.000 12.338
```

Compound: SnSbSe2
Source: the Alexandria database
Functional: PBE
Structure: optimized geometry

Values from the calculation:
DFT total energy ... -3.816 eV/atom
Energy relative to the elements, uncorrected ... -0.043 eV/atom
Symmetry ... Fm-3m
Volume ... 24.2 Å³/atom
DOS at the Fermi energy ... 1.32 states/eV/f.u.

Structure (extended XYZ):
```
16
Lattice="7.287 0.000 0.000 0.000 7.287 0.000 0.000 0.000 7.287" Properties=species:S:1:pos:R:3 pbc="T T T"
Sn 0.000 0.000 0.000
Sn 0.000 3.644 3.644
Sn 3.644 0.000 3.644
Sn 3.644 3.644 0.000
Sb 0.000 0.000 3.644
Sb 0.000 3.644 0.000
Sb 3.644 0.000 0.000
Sb 3.644 3.644 3.644
Se 1.822 1.822 1.822
Se 1.822 1.822 5.465
Se 1.822 5.465 1.822
Se 1.822 5.465 5.465
Se 5.465 1.822 1.822
Se 5.465 1.822 5.465
Se 5.465 5.465 1.822
Se 5.465 5.465 5.465
```

Compound: SnSbSe2
Source: the Alexandria database
Functional: PBE
Structure: optimized geometry

Values from the calculation:
DFT total energy ... -3.949 eV/atom
Energy relative to the elements, uncorrected ... -0.176 eV/atom
Symmetry ... R3m
Volume ... 26.9 Å³/atom
DOS at the Fermi energy ... 1.25 states/eV/f.u.

Structure (extended XYZ):
```
12
Lattice="3.940 0.000 0.000 -1.970 3.412 0.000 0.000 0.000 24.002" Properties=species:S:1:pos:R:3 pbc="T T T"
Sn 0.000 0.000 0.000
Sn 0.000 2.275 16.001
Sn 1.970 1.137 8.001
Sb 0.000 0.000 19.917
Sb 0.000 2.275 11.916
Sb 1.970 1.137 3.916
Se 0.000 0.000 5.732
Se 0.000 0.000 9.995
Se 0.000 2.275 1.995
Se 0.000 2.275 21.733
Se 1.970 1.137 13.733
Se 1.970 1.137 17.996
```

Compound: SnSbSe4
Source: the Alexandria database
Functional: PBE
Structure: optimized geometry

Values from the calculation:
DFT total energy ... -3.925 eV/atom
E above lowest polymorph ... 0.000 eV/atom
Energy relative to the elements, uncorrected ... -0.248 eV/atom
Symmetry ... C2/m
Volume ... 28.9 Å³/atom
DOS at the Fermi energy ... 2.34 states/eV/f.u.

Structure (extended XYZ):
```
12
Lattice="13.428 0.000 0.000 0.000 3.888 0.000 -1.178 0.000 6.641" Properties=species:S:1:pos:R:3 pbc="T T T"
Sn 0.000 0.000 0.000
Sn 6.714 1.944 0.000
Sb -0.589 1.944 3.320
Sb 6.125 0.000 3.320
Se 0.601 1.944 5.863
Se 1.231 0.000 2.457
Se 4.305 1.944 4.184
Se 4.935 0.000 0.778
Se 7.314 0.000 5.863
Se 7.945 1.944 2.457
Se 11.019 0.000 4.184
Se 11.649 1.944 0.778
```

Compound: Sn7Sb5Se
Source: the Alexandria database
Functional: PBE
Structure: optimized geometry

Values from the calculation:
DFT total energy ... -4.114 eV/atom
Energy relative to the elements, uncorrected ... -0.105 eV/atom
Symmetry ... Cm
Volume ... 31.2 Å³/atom
DOS at the Fermi energy ... 6.70 states/eV/f.u.

Structure (extended XYZ):
```
26
Lattice="7.449 -2.221 0.000 7.449 2.221 0.000 -0.005 0.000 24.526" Properties=species:S:1:pos:R:3 pbc="T T T"
Sn 0.000 0.000 0.000
Sn 14.890 0.000 3.210
Sn 1.042 0.000 10.425
Sn 1.054 0.000 17.331
Sn 3.970 0.000 5.062
Sn 3.978 0.000 22.687
Sn 5.024 0.000 12.263
Sn 5.029 0.000 15.472
Sn 7.979 0.000 6.853
Sn 7.979 0.000 20.883
Sn 8.835 0.000 13.862
Sn 11.088 0.000 1.606
Sn 11.939 0.000 8.617
Sn 11.940 0.000 19.115
Sb 2.507 0.000 7.741
Sb 2.515 0.000 20.005
Sb 6.536 0.000 9.642
Sb 6.542 0.000 18.096
Sb 9.323 0.000 4.028
Sb 9.320 0.000 23.707
Sb 10.596 0.000 11.440
Sb 10.599 0.000 16.289
Sb 13.379 0.000 5.833
Sb 13.380 0.000 21.904
Se 5.356 0.000 1.604
Se 14.567 0.000 13.829
```

Compound: Sn4Sb3Se
Source: the Alexandria database
Functional: PBE
Structure: optimized geometry

Values from the calculation:
DFT total energy ... -4.058 eV/atom
Energy relative to the elements, uncorrected ... -0.075 eV/atom
Symmetry ... Cmmm
Volume ... 28.9 Å³/atom
DOS at the Fermi energy ... 4.06 states/eV/f.u.

Structure (extended XYZ):
```
16
Lattice="8.651 0.000 0.000 0.000 12.334 0.000 0.000 0.000 4.339" Properties=species:S:1:pos:R:3 pbc="T T T"
Sn 0.000 3.084 0.000
Sn 0.000 9.250 0.000
Sn 2.150 0.000 2.169
Sn 2.175 6.167 2.169
Sn 4.326 3.083 0.000
Sn 4.326 9.251 0.000
Sn 6.476 6.167 2.169
Sn 6.501 0.000 2.169
Sb 0.000 6.167 0.000
Sb 2.163 3.083 2.169
Sb 2.163 9.250 2.169
Sb 4.326 0.000 0.000
Sb 6.488 3.083 2.169
Sb 6.488 9.250 2.169
Se 0.000 0.000 0.000
Se 4.326 6.167 0.000
```

Compound: Sn5SbSe8
Source: the Alexandria database
Functional: PBE
Structure: optimized geometry

Values from the calculation:
DFT total energy ... -3.989 eV/atom
Energy relative to the elements, uncorrected ... -0.274 eV/atom
Symmetry ... I-4
Volume ... 26.2 Å³/atom
DOS at the Fermi energy ... 8.01 states/eV/f.u.

Structure (extended XYZ):
```
14
Lattice="-4.641 4.641 4.255 4.641 -4.641 4.255 4.641 4.641 -4.255" Properties=species:S:1:pos:R:3 pbc="T T T"
Sn 0.000 0.000 0.000
Sn 2.350 -1.701 3.204
Sn 2.940 2.291 1.052
Sn 2.291 6.342 -1.052
Sn 1.701 2.350 5.307
Sb 0.000 4.641 2.128
Se 2.861 -0.545 0.579
Se 4.144 2.794 -1.526
Se 6.421 0.545 0.579
Se 5.186 -1.780 3.676
Se 0.497 1.847 2.729
Se 4.096 1.780 3.676
Se 1.847 -0.497 5.782
Se 2.794 5.138 1.526
```

Compound: Sn2SbSe
Source: the Alexandria database
Functional: PBE
Structure: optimized geometry

Values from the calculation:
DFT total energy ... -3.885 eV/atom
E above lowest polymorph ... 0.214 eV/atom
Energy relative to the elements, uncorrected ... 0.019 eV/atom
Symmetry ... I-42d
Volume ... 36.6 Å³/atom
DOS at the Fermi energy ... 1.29 states/eV/f.u.

Structure (extended XYZ):
```
16
Lattice="6.108 0.000 0.000 0.000 6.108 0.000 0.000 0.000 15.689" Properties=species:S:1:pos:R:3 pbc="T T T"
Sn 1.376 1.527 1.961
Sn 1.527 4.429 5.883
Sn 1.527 4.732 13.728
Sn 1.678 1.527 9.806
Sn 4.429 4.581 9.806
Sn 4.581 1.376 13.728
Sn 4.581 1.678 5.883
Sn 4.732 4.581 1.961
Sb 0.000 0.000 7.844
Sb 0.000 3.054 11.767
Sb 3.054 0.000 3.922
Sb 3.054 3.054 0.000
Se 0.000 0.000 0.000
Se 0.000 3.054 3.922
Se 3.054 0.000 11.767
Se 3.054 3.054 7.844
```

Compound: Sn5SbSe7
Source: the Alexandria database
Functional: PBE
Structure: optimized geometry

Values from the calculation:
DFT total energy ... -4.093 eV/atom
Energy relative to the elements, uncorrected ... -0.360 eV/atom
Symmetry ... Cmcm
Volume ... 27.7 Å³/atom
DOS at the Fermi energy ... 5.30 states/eV/f.u.

Structure (extended XYZ):
```
26
Lattice="2.064 -6.977 0.000 2.064 6.977 0.000 0.000 0.000 25.026" Properties=species:S:1:pos:R:3 pbc="T T T"
Sn 0.000 0.000 0.000
Sn 0.000 0.000 12.513
Sn 2.064 3.224 14.447
Sn 2.064 3.224 23.092
Sn 2.064 0.512 3.765
Sn 2.064 0.512 8.749
Sn 2.064 -0.512 16.278
Sn 2.064 -0.512 21.262
Sn 2.064 -3.224 1.934
Sn 2.064 -3.224 10.579
Sb 2.064 3.971 6.257
Sb 2.064 -3.971 18.770
Se 2.064 5.708 2.722
Se 2.064 5.708 9.791
Se 2.064 4.403 17.019
Se 2.064 4.403 20.520
Se 2.064 1.884 0.957
Se 2.064 1.884 11.556
Se 2.064 1.018 18.770
Se 2.064 -1.018 6.257
Se 2.064 -1.884 13.470
Se 2.064 -1.884 24.069
Se 2.064 -4.403 4.506
Se 2.064 -4.403 8.007
Se 2.064 -5.708 15.235
Se 2.064 -5.708 22.304
```

Compound: SnSb2Se
Source: the Alexandria database
Functional: PBE
Structure: optimized geometry

Values from the calculation:
DFT total energy ... -3.756 eV/atom
E above lowest polymorph ... 0.005 eV/atom
Energy relative to the elements, uncorrected ... 0.177 eV/atom
Symmetry ... I-42d
Volume ... 36.0 Å³/atom
DOS at the Fermi energy ... 1.74 states/eV/f.u.

Structure (extended XYZ):
```
16
Lattice="6.007 0.000 0.000 0.000 6.007 0.000 0.000 0.000 15.943" Properties=species:S:1:pos:R:3 pbc="T T T"
Sn 0.000 0.000 0.000
Sn 0.000 3.003 3.986
Sn 3.003 0.000 11.957
Sn 3.003 3.003 7.972
Sb 1.317 1.502 9.965
Sb 1.502 4.321 13.950
Sb 1.502 4.690 5.979
Sb 1.686 1.502 1.993
Sb 4.321 4.505 1.993
Sb 4.505 1.317 5.979
Sb 4.505 1.686 13.950
Sb 4.690 4.505 9.965
Se 0.000 0.000 7.972
Se 0.000 3.003 11.957
Se 3.003 0.000 3.986
Se 3.003 3.003 0.000
```

Compound: SnSb2Se4
Source: the Alexandria database
Functional: PBE
Structure: optimized geometry

Values from the calculation:
DFT total energy ... -4.023 eV/atom
Energy relative to the elements, uncorrected ... -0.282 eV/atom
Symmetry ... Cmcm
Volume ... 28.2 Å³/atom
DOS at the Fermi energy ... 0.60 states/eV/f.u.

Structure (extended XYZ):
```
14
Lattice="2.049 -6.796 0.000 2.049 6.796 0.000 0.000 0.000 14.177" Properties=species:S:1:pos:R:3 pbc="T T T"
Sn 2.049 5.603 10.632
Sn 2.049 -5.603 3.544
Sb 2.049 1.902 7.944
Sb 2.049 1.902 13.321
Sb 2.049 -1.902 0.856
Sb 2.049 -1.902 6.232
Se 0.000 0.000 0.000
Se 0.000 0.000 7.088
Se 2.049 3.083 1.691
Se 2.049 3.083 5.397
Se 2.049 0.714 10.632
Se 2.049 -0.714 3.544
Se 2.049 -3.083 8.779
Se 2.049 -3.083 12.485
```

The lowest DOS at the Fermi energy belongs to which entry? SnSb2Se4

volume of number 2 (Sn2SbSe2)? 26.8 Å³/atom